(1)
Here is Al6Ga12Ag after structural relaxation from Alexandria. Energies are from GGA-PBE.

Energy of formation from the pure elements: 0.0663 eV per atom
Magnetization: 0.00 μB per atom
Space-group type: R-3 (148)
ΔE to the lowest computed polymorph: 17 meV/atom
Volume: 18.76 Å³ per atom

Cell lengths 7.4333, 7.4333, 7.4333 Å; angles 105.33, 105.33, 105.33 degrees
With the nearest neighbours (Å) after each atom.
Positions (direct):
Ga 0.6920 0.0492 0.1488  3 Al 2.71-2.96, 6 Ga 2.76-2.97, 1 Ag 2.86
Ga 0.2011 0.6646 0.4506  4 Al 2.70-3.00, 5 Ga 2.76-2.97
Ga 0.8512 0.3080 0.9508  3 Al 2.71-2.96, 6 Ga 2.76-2.97, 1 Ag 2.86
Ga 0.6646 0.4506 0.2011  4 Al 2.70-3.00, 5 Ga 2.76-2.97
Ga 0.4506 0.2011 0.6646  4 Al 2.70-3.00, 5 Ga 2.76-2.97
Ga 0.0492 0.1488 0.6920  3 Al 2.71-2.96, 6 Ga 2.76-2.97, 1 Ag 2.86
Ga 0.3080 0.9508 0.8512  3 Al 2.71-2.96, 6 Ga 2.76-2.97, 1 Ag 2.86
Ga 0.5494 0.7989 0.3354  4 Al 2.70-3.00, 5 Ga 2.76-2.97
Ga 0.1488 0.6920 0.0492  3 Al 2.71-2.96, 6 Ga 2.76-2.97, 1 Ag 2.86
Ga 0.3354 0.5494 0.7989  4 Al 2.70-3.00, 5 Ga 2.76-2.97
Ga 0.7989 0.3354 0.5494  4 Al 2.70-3.00, 5 Ga 2.76-2.97
Ga 0.9508 0.8512 0.3080  3 Al 2.71-2.96, 6 Ga 2.76-2.97, 1 Ag 2.86
Al 0.1190 0.2741 0.3971  7 Ga 2.70-3.00, 1 Ag 2.85, 2 Al 2.85
Al 0.8810 0.7259 0.6029  7 Ga 2.70-3.00, 1 Ag 2.85, 2 Al 2.85
Al 0.3971 0.1190 0.2741  7 Ga 2.70-3.00, 1 Ag 2.85, 2 Al 2.85
Al 0.6029 0.8810 0.7259  7 Ga 2.70-3.00, 1 Ag 2.85, 2 Al 2.85
Al 0.7259 0.6029 0.8810  7 Ga 2.70-3.00, 1 Ag 2.85, 2 Al 2.85
Al 0.2741 0.3971 0.1190  7 Ga 2.70-3.00, 1 Ag 2.85, 2 Al 2.85
Ag 0.0000 0.0000 0.0000  6 Al 2.85, 6 Ga 2.86

(2)
Here is KSrTeBr after structural relaxation from Alexandria. Energies are from GGA-PBE.

Magnetization: 0.00 μB per atom
Space-group type: F-43m (216)
ΔE to the lowest computed polymorph: 122 meV/atom
Volume: 33.25 Å³ per atom

Cell lengths 5.7296, 5.7296, 5.7296 Å; angles 60.00, 60.00, 60.00 degrees
With the nearest neighbours (Å) after each atom.
Positions (direct):
Te 0.7500 0.7500 0.7500  4 K 3.51, 4 Sr 3.51
Br 0.2500 0.2500 0.2500  4 K 3.51, 4 Sr 3.51
K 0.0000 0.0000 0.0000  4 Br 3.51, 4 Te 3.51
Sr 0.5000 0.5000 0.5000  4 Br 3.51, 4 Te 3.51

(3)
Here is LaEr5Hg3 after structural relaxation from Alexandria. Energies are from GGA-PBE.

Energy of formation from the pure elements: -0.2850 eV per atom
Magnetization: 0.00 μB per atom
Space-group type: P6_3/mcm (193)
Volume: 27.48 Å³ per atom

Cell lengths 6.9253, 9.0818, 9.0806 Å; angles 120.00, 90.00, 90.00 degrees
With the nearest neighbours (Å) after each atom.
Positions (direct):
Hg 0.7500 0.3413 0.3413  3 Er 2.96-3.06
Hg 0.7500 0.6587 0.0000  3 Er 2.96-3.06
Hg 0.2500 0.0000 0.3413  3 Er 2.96-3.06
Hg 0.2500 0.6587 0.6587  3 Er 2.96-3.06
Hg 0.7500 0.0000 0.6587  3 Er 2.96-3.06
Hg 0.2500 0.3413 0.0000  3 Er 2.96-3.06
Er 0.7500 0.0000 0.3329  3 Hg 2.96-3.06
Er 0.2500 0.6671 0.0000  3 Hg 2.96-3.06
Er 0.7500 0.3329 0.0000  3 Hg 2.96-3.06
Er 0.0000 0.3333 0.6667  6 Hg 3.46, 8 Er 3.46-3.49
Er 0.0000 0.6667 0.3333  6 Hg 3.46, 8 Er 3.46-3.49
Er 0.2500 0.3329 0.3329  3 Hg 2.96-3.06
Er 0.5000 0.6667 0.3333  6 Hg 3.46, 8 Er 3.46-3.49
Er 0.7500 0.6671 0.6671  3 Hg 2.96-3.06
Er 0.5000 0.3333 0.6667  6 Hg 3.46, 8 Er 3.46-3.49
Er 0.2500 0.0000 0.6671  3 Hg 2.96-3.06
La 0.5000 0.0000 0.0000  2 La 3.46, 6 Er 3.48, 6 Hg 3.55
La 0.0000 0.0000 0.0000  2 La 3.46, 6 Er 3.48, 6 Hg 3.55

(4)
Here is Li2Cu2Pt after structural relaxation from Alexandria. Energies are from GGA-PBE.

Energy of formation from the pure elements: 0.0014 eV per atom
Magnetization: 0.00 μB per atom
Space-group type: I4/mmm (139)
ΔE to the lowest computed polymorph: 285 meV/atom
Volume: 12.56 Å³ per atom

Cell lengths 5.7739, 5.7739, 5.7739 Å; angles 145.07, 145.07, 50.23 degrees
With the nearest neighbours (Å) after each atom.
Positions (direct):
Cu 0.2500 0.7500 0.5000  4 Li 2.37, 4 Cu 2.45
Cu 0.7500 0.2500 0.5000  4 Li 2.37, 4 Cu 2.45
Li 0.5959 0.5959 0.0000  1 Li 2.01
Li 0.4041 0.4041 0.0000  1 Li 2.01
Pt 0.0000 0.0000 0.0000  8 Li 2.65

(5)
Here is RbLaSe2O8 after structural relaxation from Alexandria. Energies are from GGA-PBE.

Magnetization: 0.00 μB per atom
Space-group type: P-3 (147)
ΔE to the lowest computed polymorph: 22 meV/atom
Volume: 20.72 Å³ per atom

Cell lengths 5.7496, 5.7496, 8.6830 Å; angles 90.00, 90.00, 120.00 degrees
With the nearest neighbours (Å) after each atom.
Positions (direct):
O 0.7499 0.1114 0.3246  1 Se 1.68
O 0.6667 0.3333 0.0661  1 Se 1.64
O 0.3333 0.6667 0.9339  1 Se 1.64
O 0.3615 0.2501 0.3246  1 Se 1.68
O 0.1114 0.3615 0.6754  1 Se 1.68
O 0.6385 0.7499 0.6754  1 Se 1.68
O 0.8886 0.6385 0.3246  1 Se 1.68
O 0.2501 0.8886 0.6754  1 Se 1.68
Se 0.6667 0.3333 0.2552  4 O 1.64-1.68
Se 0.3333 0.6667 0.7448  4 O 1.64-1.68
La 0.0000 0.0000 0.5000  6 O 2.39
Rb 0.0000 0.0000 0.0000  12 O 3.37

(6)
Here is TbSn2Hg2 after structural relaxation from Alexandria. Energies are from GGA-PBE.

Energy of formation from the pure elements: -0.0816 eV per atom
Magnetization: 0.00 μB per atom
Space-group type: P6_3/mmc (194)
ΔE to the lowest computed polymorph: 233 meV/atom
Volume: 28.47 Å³ per atom

Cell lengths 5.1272, 5.1272, 12.5075 Å; angles 90.00, 90.00, 120.00 degrees
With the nearest neighbours (Å) after each atom.
Positions (direct):
Sn 0.6667 0.3333 0.7500  3 Tb 2.96
Sn 0.0000 0.0000 0.0000  2 Tb 3.13, 6 Hg 3.26
Sn 0.0000 0.0000 0.5000  2 Tb 3.13, 6 Hg 3.26
Sn 0.3333 0.6667 0.2500  3 Tb 2.96
Hg 0.3333 0.6667 0.6084  6 Sn 3.26-3.45, 3 Tb 3.45, 1 Hg 3.54
Hg 0.6667 0.3333 0.3916  6 Sn 3.26-3.45, 3 Tb 3.45, 1 Hg 3.54
Hg 0.3333 0.6667 0.8916  6 Sn 3.26-3.45, 3 Tb 3.45, 1 Hg 3.54
Hg 0.6667 0.3333 0.1084  6 Sn 3.26-3.45, 3 Tb 3.45, 1 Hg 3.54
Tb 0.0000 0.0000 0.7500  5 Sn 2.96-3.13
Tb 0.0000 0.0000 0.2500  5 Sn 2.96-3.13

(7)
Here is Zn2InRe after structural relaxation from Alexandria. Energies are from GGA-PBE.

Energy of formation from the pure elements: 0.3900 eV per atom
Magnetization: 0.00 μB per atom
Space-group type: P4/mmm (123)
Volume: 16.01 Å³ per atom

Cell lengths 4.1459, 4.1442, 3.7268 Å; angles 90.00, 90.00, 90.00 degrees
With the nearest neighbours (Å) after each atom.
Positions (direct):
Zn 0.0000 0.0000 0.0000  4 Re 2.79, 4 In 2.79, 4 Zn 2.93
Zn 0.5000 0.5000 0.0000  4 In 2.79, 4 Re 2.79, 4 Zn 2.93
Re 0.0000 0.5000 0.5000  8 Zn 2.79, 4 In 2.93
In 0.5000 0.0000 0.5000  8 Zn 2.79, 4 Re 2.93

(8)
Here is Li2TlBr5 after structural relaxation from Alexandria. Energies are from GGA-PBE.

Magnetization: 0.00 μB per atom
Space-group type: P1 (1)
Energy: -2.790 eV per atom
Volume: 37.40 Å³ per atom

Cell lengths 6.7456, 7.4997, 7.4982 Å; angles 68.58, 63.94, 64.00 degrees
With the nearest neighbours (Å) after each atom.
Positions (direct):
Br 0.8845 0.2831 0.2821  2 Li 2.55
Br 0.7718 0.8023 0.3634  1 Li 2.61, 1 Tl 2.65
Br 0.4418 0.9380 0.9388  2 Li 2.65, 1 Tl 2.71
Br 0.7732 0.3618 0.8013  1 Li 2.60, 1 Tl 2.65
Br 0.0626 0.7765 0.7766  2 Li 2.60, 1 Tl 2.84
Tl 0.9786 0.0267 0.0272  5 Br 2.65-2.88
Li 0.7669 0.0062 0.5830  4 Br 2.55-2.65
Li 0.7666 0.5825 0.0047  4 Br 2.55-2.65

(9)
Here is FeTcP after structural relaxation from Alexandria. Energies are from GGA-PBE.

Energy of formation from the pure elements: -0.0091 eV per atom
Magnetization: 0.25 μB per atom
Space-group type: Imm2 (44)
ΔE to the lowest computed polymorph: 570 meV/atom
Volume: 12.42 Å³ per atom

Cell lengths 4.2635, 4.2635, 4.2635 Å; angles 141.33, 128.69, 66.06 degrees
With the nearest neighbours (Å) after each atom.
Positions (direct):
P 0.3305 0.3305 0.0000  1 Fe 2.32, 1 Tc 2.38
Fe 0.0065 0.0065 0.0000  1 P 2.32, 5 Tc 2.46-2.58
Tc 0.6630 0.6630 0.0000  5 P 2.38-2.61, 5 Fe 2.46-2.58

(10)
Here is RbMgB3 after structural relaxation from Alexandria. Energies are from GGA-PBE.

Energy of formation from the pure elements: 2.0272 eV per atom
Magnetization: 0.00 μB per atom
Space-group type: Pm-3m (221)
ΔE to the lowest computed polymorph: 0 meV/atom
Volume: 20.54 Å³ per atom

Cell lengths 4.6831, 4.6831, 4.6831 Å; angles 90.00, 90.00, 90.00 degrees
With the nearest neighbours (Å) after each atom.
Positions (direct):
B 0.0000 0.5000 0.0000  2 Mg 2.34
B 0.5000 0.0000 0.0000  2 Mg 2.34
B 0.0000 0.0000 0.5000  2 Mg 2.34
Mg 0.0000 0.0000 0.0000  6 B 2.34
Rb 0.5000 0.5000 0.5000  12 B 3.31

(11)
Here is NaNiAs2Se after structural relaxation from Alexandria. Energies are from GGA-PBE.

Magnetization: 0.00 μB per atom
Space-group type: P4/mmm (123)
ΔE to the lowest computed polymorph: 814 meV/atom
Volume: 25.45 Å³ per atom

Cell lengths 5.0688, 4.9525, 5.0688 Å; angles 90.00, 90.00, 90.00 degrees
With the nearest neighbours (Å) after each atom.
Positions (direct):
As 0.5000 0.0000 0.0000  2 Se 2.53
As 0.0000 0.0000 0.5000  2 Se 2.53
Ni 0.5000 0.5000 0.5000  8 As 3.54, 4 Na 3.58
Na 0.0000 0.5000 0.0000  2 Se 2.48
Se 0.0000 0.0000 0.0000  2 Na 2.48, 4 As 2.53

(12)
Here is NbTe3Rh after structural relaxation from Alexandria. Energies are from GGA-PBE.

Magnetization: 0.00 μB per atom
Space-group type: Amm2 (38)
ΔE to the lowest computed polymorph: 0 meV/atom
Volume: 25.16 Å³ per atom

Cell lengths 4.0860, 5.6358, 5.6358 Å; angles 75.75, 90.00, 90.00 degrees
With the nearest neighbours (Å) after each atom.
Positions (direct):
Nb 0.5120 0.2540 0.7481  6 Te 2.71-3.02
Te 0.5120 0.1099 0.2666  2 Rh 2.65, 1 Nb 2.83
Te 0.0120 0.5111 0.4910  1 Rh 2.62, 2 Nb 2.71
Te 0.5120 0.7355 0.8921  2 Rh 2.65, 1 Nb 2.83
Rh 0.0120 0.8899 0.1121  5 Te 2.62-2.65